The following is a GGA-PBE calculation of CuTe2Au after structural relaxation, from Alexandria.

a b c (Å): 5.0094 4.9907 5.0317
angles (deg): 75.18 67.98 111.70
Last column: nearest neighbours and their distance in Å.
Atoms (fractional coordinates):
Te: 0.0000 0.5000 0.5000  2 Au 2.81, 2 Cu 2.81, 2 Te 3.06
Te: 0.0000 0.0000 0.0000  2 Cu 2.81, 2 Au 2.81, 2 Te 3.06
Au: 0.5000 0.5000 0.0000  4 Te 2.81, 2 Cu 3.06
Cu: 0.5000 0.0000 0.5000  4 Te 2.81, 2 Au 3.06

## Properties
**Energy relative to the elements, uncorrected**: 85 meV/atom
**ρ**: 8.89 Mg/m³
**Space group**: C2/m, No. 12
**D(E_F)**: 1.9 states/eV/f.u.

***

The following is a GGA-PBE calculation of BeH after structural relaxation, from Alexandria.

a b c (Å): 2.0763 2.3497 3.1874
angles (deg): 99.28 111.86 64.80
Last column: nearest neighbours and their distance in Å.
Atoms (fractional coordinates):
H: 0.8912 0.8663 0.4781  2 Be 1.53
Be: 0.1721 0.8689 0.0981  2 H 1.53

## Properties
**ΔE to the lowest computed polymorph**: 0.246 eV/atom
**ρ**: 1.27 Mg/m³
**Space group**: P1, No. 1
**D(E_F)**: 0.1 states/eV/f.u.

***

The following is a GGA-PBE calculation of CeDy4S6 after structural relaxation, from Alexandria.

a b c (Å): 3.8855 6.7400 19.7786
angles (deg): 90.00 90.00 106.75
Last column: nearest neighbours and their distance in Å.
Atoms (fractional coordinates):
S: 0.7684 0.5368 0.0892  5 Dy 2.74-2.83
S: 0.5000 0.0000 0.5000  6 Dy 2.76-2.78
S: 0.9540 0.9079 0.8343  3 Dy 2.75, 2 Ce 2.92
S: 0.0460 0.0921 0.1657  3 Dy 2.75, 2 Ce 2.92
S: 0.3144 0.6288 0.2500  2 Dy 2.72, 2 Ce 2.83
S: 0.5000 0.0000 0.0000  6 Dy 2.76-2.78
S: 0.2316 0.4632 0.5892  5 Dy 2.74-2.83
S: 0.6856 0.3712 0.7500  2 Dy 2.72, 2 Ce 2.83
S: 0.7684 0.5368 0.4108  5 Dy 2.74-2.83
S: 0.9540 0.9079 0.6657  3 Dy 2.75, 2 Ce 2.92
S: 0.2316 0.4632 0.9108  5 Dy 2.74-2.83
S: 0.0460 0.0921 0.3343  3 Dy 2.75, 2 Ce 2.92
Dy: 0.1389 0.2777 0.0404  6 S 2.74-2.83
Dy: 0.1389 0.2777 0.4596  6 S 2.74-2.83
Dy: 0.8611 0.7223 0.9596  6 S 2.74-2.83
Dy: 0.4080 0.8160 0.1269  6 S 2.72-2.78
Dy: 0.4080 0.8160 0.3731  6 S 2.72-2.78
Dy: 0.5920 0.1840 0.6269  6 S 2.72-2.78
Dy: 0.5920 0.1840 0.8731  6 S 2.72-2.78
Dy: 0.8611 0.7223 0.5404  6 S 2.74-2.83
Ce: 0.3445 0.6891 0.7500  6 S 2.83-2.92
Ce: 0.6555 0.3109 0.2500  6 S 2.83-2.92

## Properties
**Energy relative to the elements, uncorrected**: -2040 meV/atom
**ρ**: 6.58 Mg/m³
**Space group**: Cmcm, No. 63
**D(E_F)**: 8.9 states/eV/f.u.

***

The following is a GGA-PBE calculation of Pm2Al4RuPt3 after structural relaxation, from Alexandria.

a b c (Å): 4.3229 4.3229 10.1153
angles (deg): 90.00 90.00 90.00
Last column: nearest neighbours and their distance in Å.
Atoms (fractional coordinates):
Al: 0.0000 0.5000 0.3780  2 Ru 2.49, 3 Pt 2.49
Al: 0.0000 0.0000 0.0000  4 Pt 2.54
Al: 0.5000 0.0000 0.6220  2 Ru 2.49, 3 Pt 2.49
Al: 0.5000 0.5000 0.0000  4 Pt 2.54
Pt: 0.5000 0.0000 0.8681  5 Al 2.49-2.54
Pt: 0.0000 0.5000 0.1319  5 Al 2.49-2.54
Pt: 0.0000 0.0000 0.5000  4 Al 2.49
Pm: 0.5000 0.0000 0.2612  2 Ru 3.24, 6 Pt 3.24-3.32, 8 Al 3.28-3.41
Pm: 0.0000 0.5000 0.7388  2 Ru 3.24, 6 Pt 3.24-3.32, 8 Al 3.28-3.41
Ru: 0.5000 0.5000 0.5000  4 Al 2.49

## Properties
**ρ**: 9.52 Mg/m³
**Space group**: P-4m2, No. 115
**D(E_F)**: 4.7 states/eV/f.u.
**ΔH_f (0 K)**: -10.19 eV per formula unit

***

The following is a GGA-PBE calculation of PrAlGa after structural relaxation, from Alexandria.

a b c (Å): 4.1221 4.4288 8.3538
angles (deg): 74.63 90.00 90.00
Last column: nearest neighbours and their distance in Å.
Atoms (fractional coordinates):
Al: 0.2500 0.2904 0.4192  1 Ga 2.63
Al: 0.7500 0.7096 0.5808  1 Ga 2.63
Pr: 0.2500 0.1004 0.7992  1 Al 3.06, 6 Ga 3.15-3.24
Pr: 0.7500 0.8996 0.2008  1 Al 3.06, 6 Ga 3.15-3.24
Ga: 0.2500 0.4535 0.0930  2 Ga 2.55, 1 Al 2.63
Ga: 0.7500 0.5465 0.9070  2 Ga 2.55, 1 Al 2.63

## Properties
**ρ**: 5.37 Mg/m³
**Space group**: Cmcm, No. 63
**D(E_F)**: 2.0 states/eV/f.u.
**ΔH_f (0 K)**: -1.04 eV per formula unit

***

The following is a GGA-PBE calculation of NaZn2Si after structural relaxation, from Alexandria.

a b c (Å): 5.0018 5.0018 8.8013
angles (deg): 73.49 73.49 90.00
Last column: nearest neighbours and their distance in Å.
Atoms (fractional coordinates):
Na: 0.5000 0.5000 0.0000  8 Zn 3.44-3.45, 4 Si 3.54
Na: 0.2500 0.7500 0.5000  8 Zn 3.44-3.45, 4 Si 3.54
Zn: 0.8738 0.6250 0.2500  2 Si 2.37, 2 Zn 2.50
Zn: 0.8762 0.1250 0.2500  2 Si 2.37, 2 Zn 2.50
Zn: 0.3750 0.1238 0.7500  2 Si 2.37, 2 Zn 2.50
Zn: 0.8750 0.1262 0.7500  2 Si 2.37, 2 Zn 2.50
Si: 0.7500 0.2500 0.5000  4 Zn 2.37
Si: 0.0000 0.0000 0.0000  4 Zn 2.37

## Properties
**Energy relative to the elements, uncorrected**: 225 meV/atom
**ρ**: 3.00 Mg/m³
**Space group**: I-42d, No. 122
**D(E_F)**: 1.4 states/eV/f.u.